Compound: TcAg3Pd
Source: Alexandria via LeMat-Bulk
Functional: meta-GGA SCAN
Structure: PBEsol geometry

a b c (Å): 4.8594 4.8594 4.8594
angles (deg): 90.00 90.00 90.00
With the nearest neighbours (Å) after each atom.
Sites, in units of the cell vectors:
Ag 0.0000 0.5000 0.0000  2 Pd 2.43
Ag 0.5000 0.0000 0.0000  2 Pd 2.43
Ag 0.0000 0.0000 0.5000  2 Pd 2.43
Tc 0.5000 0.5000 0.5000  12 Ag 3.44
Pd 0.0000 0.0000 0.0000  6 Ag 2.43

Properties
The value obtained for the density of states at the Fermi level is 2.59 states/eV/cell. The calculation puts the formation energy at 134.4 kJ/mol of atoms. Its crystal system is cubic. For the electronic total energy, the calculation gives -30.994 eV per atom.